(1)
DFT (PBE) results for an optimized crystal structure of Zr2Te3Se.

Calculated values
Crystal system: trigonal
Fermi-level density of states in states/eV/atom: 0.28

CIF file:
```
data_Zr2Te3Se
_chemical_formula_sum 'Zr4 Te6 Se2'
_symmetry_space_group_name_H-M 'P -3 m 1'
_symmetry_Int_Tables_number 164
_symmetry_space_group_name_Hall '-P 3 2"'
_cell_length_a 7.8469
_cell_length_b 7.8469
_cell_length_c 7.0350
_cell_angle_alpha 90.00
_cell_angle_beta 90.00
_cell_angle_gamma 120.00
loop_
_atom_site_label
_atom_site_type_symbol
_atom_site_fract_x
_atom_site_fract_y
_atom_site_fract_z
_atom_site_occupancy
Zr1 Zr 0.0000 0.0000 0.0000 1
Zr2 Zr 0.0000 0.5000 0.0000 1
Te1 Te 0.1664 0.3329 0.7385 1
Se1 Se 0.3333 0.6667 0.2141 1
```


(2)
DFT (PBE) results for an optimized crystal structure of ZrTeSe2.

Calculated values
Crystal system: tetragonal
Fermi-level density of states in states/eV/atom: 0.73

CIF file:
```
data_ZrTeSe2
_chemical_formula_sum 'Zr2 Te2 Se4'
_symmetry_space_group_name_H-M 'I -4 m 2'
_symmetry_Int_Tables_number 119
_symmetry_space_group_name_Hall 'I -4 -2'
_cell_length_a 4.272
_cell_length_b 4.272
_cell_length_c 9.673
_cell_angle_alpha 90.00
_cell_angle_beta 90.00
_cell_angle_gamma 90.00
loop_
_atom_site_label
_atom_site_type_symbol
_atom_site_fract_x
_atom_site_fract_y
_atom_site_fract_z
_atom_site_occupancy
Zr1 Zr 0.000 0.000 0.000 1
Te1 Te 0.000 0.500 0.250 1
Se1 Se 0.000 0.000 0.500 1
Se2 Se 0.000 0.500 0.750 1
```


(3)
DFT (PBE) results for an optimized crystal structure of ZrTeSe2.

Calculated values
Crystal system: orthorhombic
Fermi-level density of states in states/eV/atom: 0.28

CIF file:
```
data_ZrTeSe2
_chemical_formula_sum 'Zr2 Te2 Se4'
_symmetry_space_group_name_H-M 'I m m 2'
_symmetry_Int_Tables_number 44
_cell_length_a 3.993
_cell_length_b 4.028
_cell_length_c 14.173
_cell_angle_alpha 90.00
_cell_angle_beta 90.00
_cell_angle_gamma 90.00
loop_
_symmetry_equiv_pos_as_xyz
'x,y,z'
'-x,-y,z'
'-x,y,z'
'x,-y,z'
'x+1/2,y+1/2,z+1/2'
'-x+1/2,-y+1/2,z+1/2'
'-x+1/2,y+1/2,z+1/2'
'x+1/2,-y+1/2,z+1/2'
loop_
_atom_site_label
_atom_site_type_symbol
_atom_site_fract_x
_atom_site_fract_y
_atom_site_fract_z
_atom_site_occupancy
Zr1 Zr 0.000 0.000 0.000 1
Te1 Te 0.000 0.500 0.653 1
Se1 Se 0.000 0.000 0.423 1
Se2 Se 0.000 0.500 0.138 1
```


Table of energy (Ry per atom), in record order: -0.440 -0.362 -0.389
Table of formation energy without anion corrections (eV per atom), in record order: -0.9879 -0.2591 -0.6279